# 1
VASP calculation (PBE) on a geometry-optimized LiPuAg2I8 structure.

Unit cell a=8.6019 b=8.6019 c=8.6019 alpha=109.18 beta=109.18 gamma=110.06
Last column: nearest neighbours and their distance in Å.
Sites, in units of the cell vectors:
Li (0.0000, 0.0000, 0.0000)  8 I 3.16-3.51
Pu (0.7500, 0.2500, 0.5000)  8 I 3.08-3.35
Ag (0.2500, 0.7500, 0.5000)  4 I 2.82
Ag (0.5000, 0.5000, 0.0000)  4 I 2.79
I (0.0339, 0.3492, 0.3152)  1 Ag 2.82
I (0.0339, 0.7187, 0.6848)  1 Ag 2.82
I (0.1017, 0.2963, 0.8054)  1 Ag 2.79, 1 Pu 3.08
I (0.2813, 0.9661, 0.3152)  1 Ag 2.82
I (0.4909, 0.2963, 0.1946)  1 Ag 2.79, 1 Pu 3.08
I (0.6508, 0.9661, 0.6848)  1 Ag 2.82
I (0.7037, 0.5091, 0.8054)  1 Ag 2.79, 1 Pu 3.08
I (0.7037, 0.8983, 0.1946)  1 Ag 2.79, 1 Pu 3.08

Its uncorrected formation energy is -6.0 eV per formula unit. For the total energy, the calculation gives -3.36 eV per atom. Its size of the total moment is 4.2 μB/cell. For the density, the calculation gives 5.023 g/cm³.



# 2
VASP calculation (PBE) on a geometry-optimized CaTbNd structure.

Unit cell a=3.6766 b=3.6766 c=9.1739 alpha=90.00 beta=90.00 gamma=120.00
Last column: nearest neighbours and their distance in Å.
Sites, in units of the cell vectors:
Ca (0.0000, 0.0000, 0.0000)  6 Ca 3.68, 3 Tb 3.78, 3 Nd 3.86
Tb (0.6667, 0.3333, 0.3414)  3 Nd 3.52, 6 Tb 3.68, 3 Ca 3.78
Nd (0.3333, 0.6667, 0.6479)  3 Tb 3.52, 6 Nd 3.68, 3 Ca 3.86

For the total energy, the calculation gives -3.75 eV per atom. The calculated formation energy is 0.049 eV per atom. Its size of the total moment is 0.0 μB/cell. The polymorph energy (0 for the lowest one) comes out at 17.8 meV per atom. For the density, the calculation gives 5.307 g/cm³.



# 3
VASP calculation (PBE) on a geometry-optimized Li2MnAlNi structure.

Unit cell a=4.5427 b=4.5427 c=4.6721 alpha=90.00 beta=90.00 gamma=90.00
Last column: nearest neighbours and their distance in Å.
Sites, in units of the cell vectors:
Li (0.0000, 0.5000, 0.0000)  2 Al 2.27
Li (0.5000, 0.0000, 0.0000)  2 Al 2.27
Mn (0.0000, 0.0000, 0.5000)  2 Al 2.34
Al (0.0000, 0.0000, 0.0000)  4 Li 2.27, 2 Mn 2.34
Ni (0.5000, 0.5000, 0.5000)  4 Mn 3.21, 8 Li 3.26

For the total energy, the calculation gives -3.56 eV per atom. The calculated formation energy is 0.947 eV per atom. Its size of the total moment is 3.8 μB/cell. The polymorph energy (0 for the lowest one) comes out at 187.8 meV per atom. For the density, the calculation gives 2.661 g/cm³.



# 4
VASP calculation (PBE) on a geometry-optimized Co2NiMo structure.

Unit cell a=2.6061 b=2.6061 c=7.1441 alpha=90.00 beta=90.00 gamma=90.00
Last column: nearest neighbours and their distance in Å.
Sites, in units of the cell vectors:
Co (0.0000, 0.0000, 0.2313)  4 Ni 2.48, 4 Co 2.61, 4 Mo 2.66
Co (0.0000, 0.0000, 0.7687)  4 Ni 2.48, 4 Co 2.61, 4 Mo 2.66
Ni (0.5000, 0.5000, 0.0000)  8 Co 2.48, 4 Ni 2.61
Mo (0.5000, 0.5000, 0.5000)  4 Mo 2.61, 8 Co 2.66

For the total energy, the calculation gives -7.60 eV per atom. The calculated formation energy is 0.109 eV per atom. Its size of the total moment is 3.3 μB/cell. The polymorph energy (0 for the lowest one) comes out at 122.0 meV per atom. For the density, the calculation gives 9.326 g/cm³.



# 5
VASP calculation (PBE) on a geometry-optimized Sn3Te5Au12 structure.

Unit cell a=13.9843 b=13.9843 c=13.9843 alpha=109.47 beta=109.47 gamma=109.47
Last column: nearest neighbours and their distance in Å.
Sites, in units of the cell vectors:
Sn (0.1250, 0.2500, 0.3750)  8 Au 2.78-3.01
Sn (0.1250, 0.3750, 0.7500)  8 Au 2.78-3.01
Sn (0.2500, 0.3750, 0.1250)  8 Au 2.78-3.01
Sn (0.2500, 0.8750, 0.6250)  8 Au 2.78-3.01
Sn (0.3750, 0.1250, 0.2500)  8 Au 2.78-3.01
Sn (0.3750, 0.7500, 0.1250)  8 Au 2.78-3.01
Sn (0.6250, 0.2500, 0.8750)  8 Au 2.78-3.01
Sn (0.6250, 0.8750, 0.7500)  8 Au 2.78-3.01
Sn (0.7500, 0.1250, 0.3750)  8 Au 2.78-3.01
Sn (0.7500, 0.6250, 0.8750)  8 Au 2.78-3.01
Sn (0.8750, 0.6250, 0.2500)  8 Au 2.78-3.01
Sn (0.8750, 0.7500, 0.6250)  8 Au 2.78-3.01
Te (0.0000, 0.0000, 0.0000)  6 Au 2.81
Te (0.0000, 0.0000, 0.5000)  6 Au 2.81
Te (0.0000, 0.5000, 0.0000)  6 Au 2.81
Te (0.0000, 0.5000, 0.5000)  6 Au 2.81
Te (0.1250, 0.7500, 0.8750)  4 Au 2.71
Te (0.1250, 0.8750, 0.2500)  4 Au 2.71
Te (0.2500, 0.1250, 0.8750)  4 Au 2.71
Te (0.2500, 0.6250, 0.3750)  4 Au 2.71
Te (0.3750, 0.2500, 0.6250)  4 Au 2.71
Te (0.3750, 0.6250, 0.7500)  4 Au 2.71
Te (0.5000, 0.0000, 0.0000)  6 Au 2.81
Te (0.5000, 0.0000, 0.5000)  6 Au 2.81
Te (0.5000, 0.5000, 0.0000)  6 Au 2.81
Te (0.5000, 0.5000, 0.5000)  6 Au 2.81
Te (0.6250, 0.3750, 0.2500)  4 Au 2.71
Te (0.6250, 0.7500, 0.3750)  4 Au 2.71
Te (0.7500, 0.3750, 0.6250)  4 Au 2.71
Te (0.7500, 0.8750, 0.1250)  4 Au 2.71
Te (0.8750, 0.1250, 0.7500)  4 Au 2.71
Te (0.8750, 0.2500, 0.1250)  4 Au 2.71
Au (0.0676, 0.2345, 0.1410)  2 Te 2.71-2.81, 2 Sn 2.78-3.01, 1 Au 2.87
Au (0.0676, 0.3331, 0.9265)  2 Te 2.71-2.81, 2 Sn 2.78-3.01, 1 Au 2.87
Au (0.0735, 0.6410, 0.4066)  2 Te 2.71-2.81, 2 Sn 2.78-3.01, 1 Au 2.87
Au (0.0735, 0.9324, 0.6669)  2 Te 2.71-2.81, 2 Sn 2.78-3.01, 1 Au 2.87
Au (0.0934, 0.7345, 0.6669)  2 Te 2.71-2.81, 2 Sn 2.78-3.01, 1 Au 2.87
Au (0.0934, 0.8590, 0.4265)  2 Te 2.71-2.81, 2 Sn 2.78-3.01, 1 Au 2.87
Au (0.1410, 0.0676, 0.2345)  2 Te 2.71-2.81, 2 Sn 2.78-3.01, 1 Au 2.87
Au (0.1410, 0.5735, 0.9066)  2 Te 2.71-2.81, 2 Sn 2.78-3.01, 1 Au 2.87
Au (0.1669, 0.2345, 0.5934)  2 Te 2.71-2.81, 2 Sn 2.78-3.01, 1 Au 2.87
Au (0.1669, 0.4324, 0.5735)  2 Te 2.71-2.81, 2 Sn 2.78-3.01, 1 Au 2.87
Au (0.2345, 0.1410, 0.0676)  2 Te 2.71-2.81, 2 Sn 2.78-3.01, 1 Au 2.87
Au (0.2345, 0.5934, 0.1669)  2 Te 2.71-2.81, 2 Sn 2.78-3.01, 1 Au 2.87
Au (0.2655, 0.3331, 0.9066)  2 Te 2.71-2.81, 2 Sn 2.78-3.01, 1 Au 2.87
Au (0.2655, 0.4324, 0.3590)  2 Te 2.71-2.81, 2 Sn 2.78-3.01, 1 Au 2.87
Au (0.3331, 0.9066, 0.2655)  2 Te 2.71-2.81, 2 Sn 2.78-3.01, 1 Au 2.87
Au (0.3331, 0.9265, 0.0676)  2 Te 2.71-2.81, 2 Sn 2.78-3.01, 1 Au 2.87
Au (0.3590, 0.2655, 0.4324)  2 Te 2.71-2.81, 2 Sn 2.78-3.01, 1 Au 2.87
Au (0.3590, 0.5934, 0.9265)  2 Te 2.71-2.81, 2 Sn 2.78-3.01, 1 Au 2.87
Au (0.4066, 0.0735, 0.6410)  2 Te 2.71-2.81, 2 Sn 2.78-3.01, 1 Au 2.87
Au (0.4066, 0.8331, 0.7655)  2 Te 2.71-2.81, 2 Sn 2.78-3.01, 1 Au 2.87
Au (0.4265, 0.0934, 0.8590)  2 Te 2.71-2.81, 2 Sn 2.78-3.01, 1 Au 2.87
Au (0.4265, 0.8331, 0.5676)  2 Te 2.71-2.81, 2 Sn 2.78-3.01, 1 Au 2.87
Au (0.4324, 0.3590, 0.2655)  2 Te 2.71-2.81, 2 Sn 2.78-3.01, 1 Au 2.87
Au (0.4324, 0.5735, 0.1669)  2 Te 2.71-2.81, 2 Sn 2.78-3.01, 1 Au 2.87
Au (0.5676, 0.4265, 0.8331)  2 Te 2.71-2.81, 2 Sn 2.78-3.01, 1 Au 2.87
Au (0.5676, 0.6410, 0.7345)  2 Te 2.71-2.81, 2 Sn 2.78-3.01, 1 Au 2.87
Au (0.5735, 0.1669, 0.4324)  2 Te 2.71-2.81, 2 Sn 2.78-3.01, 1 Au 2.87
Au (0.5735, 0.9066, 0.1410)  2 Te 2.71-2.81, 2 Sn 2.78-3.01, 1 Au 2.87
Au (0.5934, 0.1669, 0.2345)  2 Te 2.71-2.81, 2 Sn 2.78-3.01, 1 Au 2.87
Au (0.5934, 0.9265, 0.3590)  2 Te 2.71-2.81, 2 Sn 2.78-3.01, 1 Au 2.87
Au (0.6410, 0.4066, 0.0735)  2 Te 2.71-2.81, 2 Sn 2.78-3.01, 1 Au 2.87
Au (0.6410, 0.7345, 0.5676)  2 Te 2.71-2.81, 2 Sn 2.78-3.01, 1 Au 2.87
Au (0.6669, 0.0735, 0.9324)  2 Te 2.71-2.81, 2 Sn 2.78-3.01, 1 Au 2.87
Au (0.6669, 0.0934, 0.7345)  2 Te 2.71-2.81, 2 Sn 2.78-3.01, 1 Au 2.87
Au (0.7345, 0.5676, 0.6410)  2 Te 2.71-2.81, 2 Sn 2.78-3.01, 1 Au 2.87
Au (0.7345, 0.6669, 0.0934)  2 Te 2.71-2.81, 2 Sn 2.78-3.01, 1 Au 2.87
Au (0.7655, 0.4066, 0.8331)  2 Te 2.71-2.81, 2 Sn 2.78-3.01, 1 Au 2.87
Au (0.7655, 0.8590, 0.9324)  2 Te 2.71-2.81, 2 Sn 2.78-3.01, 1 Au 2.87
Au (0.8331, 0.5676, 0.4265)  2 Te 2.71-2.81, 2 Sn 2.78-3.01, 1 Au 2.87
Au (0.8331, 0.7655, 0.4066)  2 Te 2.71-2.81, 2 Sn 2.78-3.01, 1 Au 2.87
Au (0.8590, 0.4265, 0.0934)  2 Te 2.71-2.81, 2 Sn 2.78-3.01, 1 Au 2.87
Au (0.8590, 0.9324, 0.7655)  2 Te 2.71-2.81, 2 Sn 2.78-3.01, 1 Au 2.87
Au (0.9066, 0.1410, 0.5735)  2 Te 2.71-2.81, 2 Sn 2.78-3.01, 1 Au 2.87
Au (0.9066, 0.2655, 0.3331)  2 Te 2.71-2.81, 2 Sn 2.78-3.01, 1 Au 2.87
Au (0.9265, 0.0676, 0.3331)  2 Te 2.71-2.81, 2 Sn 2.78-3.01, 1 Au 2.87
Au (0.9265, 0.3590, 0.5934)  2 Te 2.71-2.81, 2 Sn 2.78-3.01, 1 Au 2.87
Au (0.9324, 0.6669, 0.0735)  2 Te 2.71-2.81, 2 Sn 2.78-3.01, 1 Au 2.87
Au (0.9324, 0.7655, 0.8590)  2 Te 2.71-2.81, 2 Sn 2.78-3.01, 1 Au 2.87

Its uncorrected formation energy is 0.4 eV per formula unit. For the total energy, the calculation gives -3.33 eV per atom. Its size of the total moment is 0.0 μB/cell. For the density, the calculation gives 10.594 g/cm³.



# 6
VASP calculation (PBE) on a geometry-optimized Dy2AlSe4 structure.

Unit cell a=7.4052 b=7.4052 c=7.1013 alpha=117.96 beta=117.96 gamma=31.38
Last column: nearest neighbours and their distance in Å.
Sites, in units of the cell vectors:
Dy (0.2324, 0.2324, 0.2196)  6 Se 2.81-2.96
Dy (0.7676, 0.7676, 0.7804)  6 Se 2.81-2.96
Al (0.5000, 0.5000, 0.5000)  6 Se 2.63-2.72
Se (0.1214, 0.1214, 0.4698)  2 Al 2.72, 3 Dy 2.90-2.96
Se (0.3897, 0.3897, 0.0769)  1 Al 2.63, 3 Dy 2.81-2.88
Se (0.6103, 0.6103, 0.9231)  1 Al 2.63, 3 Dy 2.81-2.88
Se (0.8786, 0.8786, 0.5302)  2 Al 2.72, 3 Dy 2.90-2.96

Its uncorrected formation energy is -9.8 eV per formula unit. For the total energy, the calculation gives -5.24 eV per atom. Its size of the total moment is 0.0 μB/cell. For the density, the calculation gives 6.261 g/cm³.



# 7
VASP calculation (PBE) on a geometry-optimized LiHf3Re structure.

Unit cell a=5.0841 b=5.0841 c=5.0841 alpha=90.00 beta=90.00 gamma=90.00
Last column: nearest neighbours and their distance in Å.
Sites, in units of the cell vectors:
Li (0.0000, 0.0000, 0.0000)  12 Hf 3.60
Hf (0.0000, 0.5000, 0.5000)  2 Re 2.54
Hf (0.5000, 0.0000, 0.5000)  2 Re 2.54
Hf (0.5000, 0.5000, 0.0000)  2 Re 2.54
Re (0.5000, 0.5000, 0.5000)  6 Hf 2.54

For the total energy, the calculation gives -8.23 eV per atom. The calculated formation energy is 0.617 eV per atom. Its size of the total moment is 0.0 μB/cell. The polymorph energy (0 for the lowest one) comes out at 0.0 meV per atom. For the density, the calculation gives 9.207 g/cm³.



# 8
VASP calculation (PBE) on a geometry-optimized Hg2Cl2F3 structure.

Unit cell a=4.8861 b=6.1565 c=6.3983 alpha=75.16 beta=67.57 gamma=66.64
Last column: nearest neighbours and their distance in Å.
Sites, in units of the cell vectors:
Hg (0.0886, 0.1323, 0.1903)  2 F 2.17-2.24
Hg (0.9114, 0.8677, 0.8097)  2 F 2.17-2.24
Cl (0.1765, 0.7095, 0.4439)  2 Hg 2.44-2.66
Cl (0.8235, 0.2905, 0.5561)  2 Hg 2.44-2.66
F (0.0000, 0.5000, 0.0000)  2 Hg 2.24
F (0.3308, 0.9524, 0.8864)  1 Hg 2.17
F (0.6692, 0.0476, 0.1136)  1 Hg 2.17

Its uncorrected formation energy is -6.5 eV per formula unit. For the total energy, the calculation gives -2.34 eV per atom. Its size of the total moment is 0.8 μB/cell. For the density, the calculation gives 5.421 g/cm³.



# 9
VASP calculation (PBE) on a geometry-optimized TcTeH2W structure.

Unit cell a=3.7305 b=3.7305 c=5.2916 alpha=90.00 beta=90.00 gamma=90.00
Last column: nearest neighbours and their distance in Å.
Sites, in units of the cell vectors:
Tc (0.0000, 0.0000, 0.0000)  4 Te 2.64
Te (0.5000, 0.5000, 0.0000)  4 Tc 2.64, 2 W 2.65
H (0.0000, 0.5000, 0.5000)  2 W 1.87
H (0.5000, 0.0000, 0.5000)  2 W 1.87
W (0.5000, 0.5000, 0.5000)  4 H 1.87

For the total energy, the calculation gives -5.63 eV per atom. Its size of the total moment is 0.6 μB/cell. For the density, the calculation gives 9.278 g/cm³.



# 10
VASP calculation (PBE) on a geometry-optimized PaSi2Pd structure.

Unit cell a=6.8263 b=3.9815 c=10.5930 alpha=90.00 beta=90.00 gamma=90.00
Last column: nearest neighbours and their distance in Å.
Sites, in units of the cell vectors:
Pa (0.1380, 0.2500, 0.1459)  9 Si 2.93-3.25, 1 Pd 3.12
Pa (0.3620, 0.7500, 0.6459)  9 Si 2.93-3.25, 1 Pd 3.12
Pa (0.6380, 0.2500, 0.3541)  9 Si 2.93-3.25, 1 Pd 3.12
Pa (0.8620, 0.7500, 0.8541)  9 Si 2.93-3.25, 1 Pd 3.12
Si (0.0351, 0.2500, 0.6593)  2 Si 2.31-2.45, 3 Pd 2.45-2.58
Si (0.1776, 0.2500, 0.8569)  2 Si 2.31-2.45, 2 Pd 2.47
Si (0.3224, 0.7500, 0.3569)  2 Si 2.31-2.45, 2 Pd 2.47
Si (0.4649, 0.7500, 0.1593)  2 Si 2.31-2.45, 3 Pd 2.45-2.58
Si (0.5351, 0.2500, 0.8407)  2 Si 2.31-2.45, 3 Pd 2.45-2.58
Si (0.6776, 0.2500, 0.6431)  2 Si 2.31-2.45, 2 Pd 2.47
Si (0.8224, 0.7500, 0.1431)  2 Si 2.31-2.45, 2 Pd 2.47
Si (0.9649, 0.7500, 0.3407)  2 Si 2.31-2.45, 3 Pd 2.45-2.58
Pd (0.1501, 0.2500, 0.4400)  5 Si 2.45-2.58
Pd (0.3499, 0.7500, 0.9400)  5 Si 2.45-2.58
Pd (0.6501, 0.2500, 0.0600)  5 Si 2.45-2.58
Pd (0.8499, 0.7500, 0.5600)  5 Si 2.45-2.58

Its uncorrected formation energy is -2.6 eV per formula unit. For the total energy, the calculation gives -7.03 eV per atom. Its size of the total moment is 0.0 μB/cell. For the density, the calculation gives 9.081 g/cm³.



# 11
VASP calculation (PBE) on a geometry-optimized TiNbZnOs structure.

Unit cell a=4.4739 b=4.4739 c=4.4739 alpha=60.00 beta=60.00 gamma=60.00
Last column: nearest neighbours and their distance in Å.
Sites, in units of the cell vectors:
Ti (0.0000, 0.0000, 0.0000)  4 Os 2.74, 4 Zn 2.74
Nb (0.5000, 0.5000, 0.5000)  4 Os 2.74, 4 Zn 2.74
Zn (0.2500, 0.2500, 0.2500)  4 Nb 2.74, 4 Ti 2.74
Os (0.7500, 0.7500, 0.7500)  4 Nb 2.74, 4 Ti 2.74

For the total energy, the calculation gives -7.80 eV per atom. The calculated formation energy is -0.185 eV per atom. Its size of the total moment is 0.0 μB/cell. For the density, the calculation gives 10.396 g/cm³.



# 12
VASP calculation (PBE) on a geometry-optimized ZrAsI2 structure.

Unit cell a=4.0113 b=5.5340 c=7.9398 alpha=71.21 beta=85.93 gamma=80.36
Last column: nearest neighbours and their distance in Å.
Sites, in units of the cell vectors:
Zr (0.0000, 0.0000, 0.0000)  2 As 2.62
As (0.4929, 0.8940, 0.2238)  2 Zr 2.62
I (0.5124, 0.1265, 0.7020)  2 Zr 3.01
I (0.9951, 0.4292, 0.1505)  2 Zr 2.98-3.00, 2 As 3.17-3.19

Its uncorrected formation energy is -1.7 eV per formula unit. For the total energy, the calculation gives -4.51 eV per atom. Its size of the total moment is 0.0 μB/cell. The polymorph energy (0 for the lowest one) comes out at 349.1 meV per atom. For the density, the calculation gives 4.240 g/cm³.